Crystalline Th2Ga3Co at its relaxed geometry. Source: Alexandria via LeMat-Bulk, functional PBE.

E_form   -0.53 eV per atom
E_tot   -5.70 eV/atom
Crystal system   orthorhombic
Calculated volume   21.26 Å³/atom
Relative energy among the computed polymorphs   0.00 kJ per mole of atoms

Cell lengths 3.821, 4.392, 7.601 Å; angles 90.00, 90.00, 90.00 degrees
Space group Pmm2 (No. 25)
Inequivalent atoms, fractional coordinates:
Th  0.000  0.000  0.000 x1
Th  0.000  0.500  0.454 x1
Ga  0.500  0.000  0.630 x1
Ga  0.500  0.500  0.144 x1
Ga  0.500  0.500  0.806 x1
Co  0.500  0.000  0.302 x1